1.
Below is crystalline Nb2V4P at its relaxed geometry, with properties calculated at the GGA-PBE level.

```
7
Lattice="-2.2523 -0.1133 3.6866 -3.4984 -1.3027 -2.1774 -1.1628 -6.7461 1.6154" Properties=species:S:1:pos:R:3 pbc="T T T"
V -1.1262 -0.0566 1.8433
V -5.1310 -3.6010 1.8207
V -1.7492 -0.6513 -1.0887
V -1.7825 -4.5610 1.3039
Nb -4.4807 -5.8937 2.1476
Nb -2.4328 -2.2684 0.9771
P 0.0000 0.0000 0.0000
```

Computed properties:
For the density, the calculation gives 5.90 g/cm3. The formation energy from the elements is 0.55 eV/atom.

=====

2.
Below is crystalline NbV4P2 at its relaxed geometry, with properties calculated at the GGA-PBE level.

```
14
Lattice="3.2385 0.0000 0.0000 0.0000 7.7415 0.0000 0.0000 0.0000 7.7415" Properties=species:S:1:pos:R:3 pbc="T T T"
V 1.6193 4.5572 1.3044
V 1.6193 1.3044 4.5572
V 0.0000 7.0551 5.1751
V 0.0000 5.1751 7.0551
V 1.6193 3.1844 6.4372
V 0.0000 2.5664 0.6864
V 1.6193 6.4372 3.1844
V 0.0000 0.6864 2.5664
P 0.0000 6.2913 1.4502
P 1.6193 2.4205 2.4205
P 1.6193 5.3210 5.3210
P 0.0000 1.4502 6.2913
Nb 1.6193 0.0000 0.0000
Nb 0.0000 3.8708 3.8708
```

Computed properties:
For the density, the calculation gives 6.14 g/cm3. The formation energy from the elements is -0.61 eV/atom.

=====

3.
Below is crystalline NbVP2 at its relaxed geometry, with properties calculated at the GGA-PBE level.

```
8
Lattice="-0.8750 0.2214 -5.4252 -4.3479 -3.3201 0.5658 -5.8605 2.8253 -1.7272" Properties=species:S:1:pos:R:3 pbc="T T T"
P -8.8992 -0.5419 -5.5560
P -6.4202 0.9064 -3.1090
P -4.3053 -1.3377 -0.8390
P -2.5422 0.4263 -3.6692
Nb 0.0000 0.0000 0.0000
Nb -4.6735 0.7486 -4.7910
V -2.6114 -1.5494 -2.4297
V -6.4099 -1.0221 -1.7956
```

Computed properties:
The value obtained for the excess energy over the best structure of this formula in the dataset is 623 meV per atom. For the density, the calculation gives 4.11 g/cm3. The formation energy from the elements is -0.06 eV/atom.

=====

4.
Below is crystalline NbVP at its relaxed geometry, with properties calculated at the GGA-PBE level.

```
12
Lattice="6.7297 0.0000 -0.0007 0.0000 3.3367 0.0000 -4.7287 0.0000 7.8515" Properties=species:S:1:pos:R:3 pbc="T T T"
V 4.8926 1.6684 1.2275
V 2.5282 0.0000 5.1533
V -1.5467 0.0000 7.1327
V 0.8176 1.6684 3.2070
Nb -1.5683 0.0000 3.8896
Nb 0.1693 1.6684 5.7146
Nb 2.5336 0.0000 1.7888
Nb -3.9327 1.6684 7.8154
P -0.0890 0.0000 1.7876
P 0.9315 0.0000 7.3550
P -2.4534 1.6684 5.7133
P 3.2959 1.6684 3.4292
```

Computed properties:
For the density, the calculation gives 6.59 g/cm3. The formation energy from the elements is -0.58 eV/atom.

=====

5.
Below is crystalline NbVP at its relaxed geometry, with properties calculated at the GGA-PBE level.

```
12
Lattice="-2.3802 -3.9249 1.2692 5.3030 -1.5976 5.0044 -1.2763 4.8275 2.8935" Properties=species:S:1:pos:R:3 pbc="T T T"
P 2.9964 -4.4462 5.5866
P 2.4425 -1.9584 3.3062
P -0.8471 1.2541 2.2508
P -0.2933 -1.2337 4.5311
Nb -1.5295 -1.1764 2.3423
Nb 3.2803 1.9171 7.1727
Nb 0.4838 0.4386 6.2913
Nb 1.2670 0.3022 3.2237
V -0.1262 2.8570 4.1809
V 1.6384 -2.2171 5.5548
V 3.1634 -0.3556 5.2364
V -1.6513 0.9954 4.4994
```

Computed properties:
For the density, the calculation gives 6.32 g/cm3. The formation energy from the elements is -0.50 eV/atom.

=====

6.
Below is crystalline Nb3VP at its relaxed geometry, with properties calculated at the GGA-PBE level.

```
5
Lattice="4.6081 0.0000 0.0000 0.0000 4.6081 0.0000 0.0000 0.0000 4.6081" Properties=species:S:1:pos:R:3 pbc="T T T"
P 0.0000 0.0000 0.0000
Nb 0.0000 0.0000 2.3040
Nb 0.0000 2.3040 0.0000
Nb 2.3040 0.0000 0.0000
V 2.3040 2.3040 2.3040
```

Computed properties:
The value obtained for the excess energy over the best structure of this formula in the dataset is 0 meV per atom. For the density, the calculation gives 6.12 g/cm3. The formation energy from the elements is 0.39 eV/atom.

=====

7.
Below is crystalline NbVP at its relaxed geometry, with properties calculated at the GGA-PBE level.

```
3
Lattice="3.2107 0.0000 0.0000 0.0000 4.0778 0.0000 0.0000 -2.0389 3.5314" Properties=species:S:1:pos:R:3 pbc="T T T"
Nb 2.3808 2.0389 1.1771
V 0.4142 0.0000 2.3543
P 0.4157 0.0000 0.0000
```

Computed properties:
For the density, the calculation gives 6.28 g/cm3. The formation energy from the elements is -0.22 eV/atom.

=====

8.
Below is crystalline NbVP at its relaxed geometry, with properties calculated at the GGA-PBE level.

```
18
Lattice="-1.0116 1.3470 -2.9390 3.6929 -4.3749 -3.2762 -8.8064 -7.2277 -0.2816" Properties=species:S:1:pos:R:3 pbc="T T T"
Nb -2.1491 -4.1216 -4.0778
Nb -3.1181 -1.1553 -2.3847
Nb -7.0047 -7.8342 -2.1559
Nb -3.9760 -6.1340 -2.4191
Nb -3.0071 -9.1003 -4.1121
Nb 0.8795 -2.4213 -4.3409
P -0.5260 -0.6336 -3.0378
P 0.2571 -4.6822 -3.2106
P -2.9551 -3.6598 -1.6364
P -6.3822 -5.5734 -3.2862
P -3.1700 -6.5958 -4.8604
P -5.5991 -9.6220 -3.4591
V -5.0103 -3.5035 -2.8097
V -8.7869 -5.6244 -2.4819
V -0.7039 -2.7279 -1.9842
V 2.6618 -4.6312 -4.0150
V -1.1148 -6.7521 -3.6872
V -5.4212 -7.5277 -4.5127
```

Computed properties:
For the density, the calculation gives 6.84 g/cm3. The formation energy from the elements is -0.87 eV/atom.

=====

9.
Below is crystalline NbVP at its relaxed geometry, with properties calculated at the GGA-PBE level.

```
12
Lattice="5.0443 0.0000 0.0000 0.0000 5.8548 0.0000 0.0000 0.0000 5.8357" Properties=species:S:1:pos:R:3 pbc="T T T"
Nb 1.2611 2.0100 2.5595
Nb 3.7833 4.9374 5.4774
Nb 1.2611 0.9173 5.4774
Nb 3.7833 3.8447 2.5595
V 3.7833 1.0094 1.5606
V 1.2611 3.9368 4.4785
V 3.7833 1.9180 4.4785
V 1.2611 4.8453 1.5606
P 0.0000 0.0000 3.4505
P 0.0000 2.9274 0.5327
P 2.5222 2.9274 0.5327
P 2.5222 0.0000 3.4505
```

Computed properties:
For the density, the calculation gives 6.74 g/cm3. The formation energy from the elements is -0.64 eV/atom.

=====

10.
Below is crystalline NbVP2 at its relaxed geometry, with properties calculated at the GGA-PBE level.

```
4
Lattice="3.3802 0.0000 0.0000 1.6901 2.9273 0.0000 1.6901 0.9758 6.0876" Properties=species:S:1:pos:R:3 pbc="T T T"
P 1.6901 0.9758 1.6300
P 1.6901 0.9758 4.4439
Nb 5.0703 2.9273 6.0509
V 3.3802 1.9516 3.0940
```

Computed properties:
The value obtained for the excess energy over the best structure of this formula in the dataset is 0 meV per atom. For the density, the calculation gives 5.67 g/cm3. The formation energy from the elements is -0.68 eV/atom.

=====

11.
Below is crystalline Nb4V2P at its relaxed geometry, with properties calculated at the GGA-PBE level.

```
7
Lattice="-2.9423 -2.7085 2.2411 3.3079 -1.1437 2.9606 -1.4500 2.9000 6.2897" Properties=species:S:1:pos:R:3 pbc="T T T"
P 0.0000 0.0000 0.0000
Nb -1.4711 -1.3542 1.1206
Nb -0.8170 1.0291 4.8596
Nb -0.2674 -1.9812 6.6317
Nb 1.6539 -0.5719 1.4803
V -0.2159 -0.7476 3.5016
V -0.8685 -0.2045 7.9898
```

Computed properties:
For the density, the calculation gives 6.34 g/cm3. The formation energy from the elements is 0.55 eV/atom.

=====

12.
Below is crystalline Nb2VP at its relaxed geometry, with properties calculated at the GGA-PBE level.

```
4
Lattice="-0.6190 2.8808 1.3975 0.5255 0.4101 3.1923 6.7574 3.2306 0.1384" Properties=species:S:1:pos:R:3 pbc="T T T"
V 3.3320 3.2608 2.3641
Nb 1.4993 1.5780 1.2162
Nb 5.1647 4.9436 3.5120
P 0.0000 0.0000 0.0000
```

Computed properties:
For the density, the calculation gives 6.66 g/cm3. The formation energy from the elements is -0.16 eV/atom.

=====

13.
Below is crystalline NbVP2 at its relaxed geometry, with properties calculated at the GGA-PBE level.

```
4
Lattice="3.5624 0.0000 0.0000 1.7812 3.0851 0.0000 1.7812 1.0284 5.5966" Properties=species:S:1:pos:R:3 pbc="T T T"
P 1.7812 1.0284 1.2922
P 5.3436 3.0851 4.3044
V 0.0000 0.0000 0.0000
Nb 3.5624 2.0568 2.7983
```

Computed properties:
The value obtained for the excess energy over the best structure of this formula in the dataset is 138 meV per atom. For the density, the calculation gives 5.56 g/cm3. The formation energy from the elements is -0.54 eV/atom.